Entry 1:
# Zr5Tl2Ge2

A relaxed Zr5Tl2Ge2 crystal (GGA-PBE, the Alexandria database).

Unit cell a=8.2039 b=8.2039 c=7.3169 alpha=90.00 beta=90.00 gamma=53.22
Positions (direct):
Zr  0.0000  0.0000  0.0000
Zr  0.0524  0.7042  0.6720
Zr  0.2042  0.5524  0.1720
Zr  0.2958  0.9476  0.6720
Zr  0.4476  0.7958  0.1720
Zr  0.5000  0.5000  0.5000
Zr  0.5524  0.2042  0.8280
Zr  0.7042  0.0524  0.3280
Zr  0.7958  0.4476  0.8280
Zr  0.9476  0.2958  0.3280
Tl  0.2172  0.2172  0.0000
Tl  0.2828  0.2828  0.5000
Tl  0.7172  0.7172  0.5000
Tl  0.7828  0.7828  0.0000
Ge  0.1282  0.8718  0.3702
Ge  0.3718  0.6282  0.8702
Ge  0.6282  0.3718  0.1298
Ge  0.8718  0.1282  0.6298

**SG**: Cmce (64)
**E**: -6.75 eV/atom



Entry 2:
# KNa3Ca

A relaxed KNa3Ca crystal (GGA-PBE, the Alexandria database).

Unit cell a=6.7111 b=6.7111 c=6.7111 alpha=90.00 beta=90.00 gamma=90.00
Positions (direct):
K  0.0000  0.0000  0.0000
Na  0.0000  0.5000  0.5000
Na  0.5000  0.0000  0.5000
Na  0.5000  0.5000  0.0000
Ca  0.5000  0.5000  0.5000

**Energy relative to the lowest polymorph listed for this composition**: 0.0 meV/atom
**SG**: Pm-3m (221)



Entry 3:
# YCd2Mo

A relaxed YCd2Mo crystal (GGA-PBE, the Alexandria database).

Unit cell a=5.5513 b=5.5513 c=5.3630 alpha=100.00 beta=100.00 gamma=31.95
Positions (direct):
Y  0.0000  0.0000  0.0000
Cd  0.2387  0.2387  0.7283
Cd  0.7613  0.7613  0.2717
Mo  0.5000  0.5000  0.5000

**Energy relative to the lowest polymorph listed for this composition**: 78.4 meV/atom
**SG**: C2/m (12)



Entry 4:
# Li3ErU3S8

A relaxed Li3ErU3S8 crystal (GGA-PBE, the Alexandria database).

Unit cell a=7.6627 b=7.6627 c=7.6627 alpha=61.24 beta=61.24 gamma=61.24
Positions (direct):
Li  0.0000  0.5000  0.5000
Li  0.5000  0.0000  0.5000
Li  0.5000  0.5000  0.0000
Er  0.5000  0.5000  0.5000
U  0.0000  0.0000  0.5000
U  0.0000  0.5000  0.0000
U  0.5000  0.0000  0.0000
S  0.2520  0.2520  0.2520
S  0.2519  0.7474  0.7474
S  0.2526  0.2526  0.7481
S  0.2526  0.7481  0.2526
S  0.7474  0.2519  0.7474
S  0.7474  0.7474  0.2519
S  0.7481  0.2526  0.2526
S  0.7480  0.7480  0.7480

**SG**: R-3m (166)
**Formation energy from raw total energies**: -1482.4 meV per atom



These records have total magnetization values of 0.000, 0.000, 0.000, 0.534 μB/atom, in the order they appear.